An optimized crystal structure of MnSN2F, computed with PBE with a Hubbard U.

a b c (Å): 3.468 3.468 4.891
angles (deg): 90.00 90.00 90.00
Fractional coordinates of all 5 atoms:
N1 0.000 0.500 0.000
N2 0.500 0.000 0.000
S1 0.000 0.000 0.000
Mn1 0.500 0.500 0.500
F1 0.000 0.000 0.500

E   -5.3489 eV per atom
Energy above the most stable polymorph in this dataset   0 meV/atom
Density of states at the Fermi level   2.19 states/eV/f.u.
Space-group type   P4/mmm